Entry 1:
# RbAs2Au | Alexandria via LeMat-Bulk | PBE | optimized geometry
# DFT formation energy	1.68	eV per formula unit
# Fermi-level density of states	2.45	states/eV per cell
# polymorph energy (0 for the lowest one)	517	meV per atom
data_RbAs2Au
_chemical_formula_sum 'Rb1 As2 Au1'
_space_group_name_H-M_alt 'P 1'
_space_group_IT_number 1
_space_group_name_Hall 'P 1'
_cell_length_a 5.103
_cell_length_b 5.103
_cell_length_c 5.103
_cell_angle_alpha 60.00
_cell_angle_beta 60.00
_cell_angle_gamma 60.00
loop_
_atom_site_label
_atom_site_fract_x
_atom_site_fract_y
_atom_site_fract_z
As1 0.250 0.250 0.250
As2 0.750 0.750 0.750
Rb1 0.000 0.000 0.000
Au1 0.500 0.500 0.500

---

Entry 2:
# Cs2SnPbBr6 | Alexandria via LeMat-Bulk | PBE | optimized geometry
# formation energy from raw total energies	-12.55	eV/f.u.
# Fermi-level density of states	0.00	states/eV per cell
data_Cs2SnPbBr6
_chemical_formula_sum 'Cs2 Sn1 Pb1 Br6'
_space_group_name_H-M_alt 'P 1'
_space_group_IT_number 1
_space_group_name_Hall 'P 1'
_cell_length_a 8.404
_cell_length_b 8.404
_cell_length_c 8.403
_cell_angle_alpha 60.00
_cell_angle_beta 60.00
_cell_angle_gamma 90.00
loop_
_atom_site_label
_atom_site_fract_x
_atom_site_fract_y
_atom_site_fract_z
Br1 0.747 0.747 0.505
Br2 0.253 0.747 0.000
Br3 0.747 0.747 0.000
Br4 0.253 0.253 0.000
Br5 0.253 0.253 0.495
Br6 0.747 0.253 0.000
Cs1 0.750 0.250 0.500
Cs2 0.250 0.750 0.500
Sn1 0.500 0.500 0.000
Pb1 0.000 0.000 0.000

---

Entry 3:
# Cs2AcBe2Se4 | Alexandria via LeMat-Bulk | PBE | optimized geometry
# formation energy from raw total energies	-9.64	eV/f.u.
# Fermi-level density of states	3.27	states/eV per cell
data_Cs2AcBe2Se4
_chemical_formula_sum 'Cs2 Ac1 Be2 Se4'
_space_group_name_H-M_alt 'P 1'
_space_group_IT_number 1
_space_group_name_Hall 'P 1'
_cell_length_a 4.064
_cell_length_b 9.085
_cell_length_c 8.366
_cell_angle_alpha 112.84
_cell_angle_beta 104.05
_cell_angle_gamma 90.00
loop_
_atom_site_label
_atom_site_fract_x
_atom_site_fract_y
_atom_site_fract_z
Cs1 0.867 0.444 0.735
Cs2 0.133 0.556 0.265
Se1 0.463 0.234 0.927
Se2 0.791 0.880 0.582
Se3 0.537 0.766 0.073
Se4 0.209 0.120 0.418
Ac1 0.000 0.000 0.000
Be1 0.328 0.035 0.656
Be2 0.672 0.965 0.344

---

Entry 4:
# BeGaFe3 | Alexandria via LeMat-Bulk | PBE | optimized geometry
# DFT formation energy	1.87	eV per formula unit
# Fermi-level density of states	5.26	states/eV per cell
# polymorph energy (0 for the lowest one)	0	meV per atom
data_BeGaFe3
_chemical_formula_sum 'Be1 Ga1 Fe3'
_space_group_name_H-M_alt 'P 1'
_space_group_IT_number 1
_space_group_name_Hall 'P 1'
_cell_length_a 3.961
_cell_length_b 3.961
_cell_length_c 3.961
_cell_angle_alpha 90.00
_cell_angle_beta 90.00
_cell_angle_gamma 90.00
loop_
_atom_site_label
_atom_site_fract_x
_atom_site_fract_y
_atom_site_fract_z
Be1 0.000 0.000 0.000
Fe1 0.000 0.000 0.500
Fe2 0.500 0.000 0.000
Fe3 0.000 0.500 0.000
Ga1 0.500 0.500 0.500

---

Entry 5:
# MgCo3Pt | Alexandria via LeMat-Bulk | PBE | optimized geometry
# DFT formation energy	4.89	eV per formula unit
# Fermi-level density of states	5.12	states/eV per cell
# polymorph energy (0 for the lowest one)	0	meV per atom
data_MgCo3Pt
_chemical_formula_sum 'Mg1 Co3 Pt1'
_space_group_name_H-M_alt 'P 1'
_space_group_IT_number 1
_space_group_name_Hall 'P 1'
_cell_length_a 4.624
_cell_length_b 4.624
_cell_length_c 4.624
_cell_angle_alpha 90.00
_cell_angle_beta 90.00
_cell_angle_gamma 90.00
loop_
_atom_site_label
_atom_site_fract_x
_atom_site_fract_y
_atom_site_fract_z
Mg1 0.500 0.500 0.500
Co1 0.500 0.000 0.000
Co2 0.000 0.000 0.500
Co3 0.000 0.500 0.000
Pt1 0.000 0.000 0.000

---

Entry 6:
# SnSbAs2Br | Alexandria via LeMat-Bulk | PBE | optimized geometry
# formation energy from raw total energies	2.60	eV/f.u.
# Fermi-level density of states	3.38	states/eV per cell
# polymorph energy (0 for the lowest one)	0	meV per atom
data_SnSbAs2Br
_chemical_formula_sum 'Sn1 Sb1 As2 Br1'
_space_group_name_H-M_alt 'P 1'
_space_group_IT_number 1
_space_group_name_Hall 'P 1'
_cell_length_a 5.337
_cell_length_b 5.337
_cell_length_c 5.459
_cell_angle_alpha 90.00
_cell_angle_beta 90.00
_cell_angle_gamma 90.00
loop_
_atom_site_label
_atom_site_fract_x
_atom_site_fract_y
_atom_site_fract_z
Sn1 0.500 0.500 0.500
As1 0.000 0.500 0.000
As2 0.500 0.000 0.000
Sb1 0.000 0.000 0.000
Br1 0.000 0.000 0.500

---

Entry 7:
# Cs12Ag5Au3 | Alexandria via LeMat-Bulk | PBE | optimized geometry
# DFT formation energy	0.55	eV per formula unit
# Fermi-level density of states	71.56	states/eV per cell
data_Cs12Ag5Au3
_chemical_formula_sum 'Cs48 Ag20 Au12'
_space_group_name_H-M_alt 'P 1'
_space_group_IT_number 1
_space_group_name_Hall 'P 1'
_cell_length_a 18.860
_cell_length_b 18.860
_cell_length_c 18.860
_cell_angle_alpha 109.47
_cell_angle_beta 109.47
_cell_angle_gamma 109.47
loop_
_atom_site_label
_atom_site_fract_x
_atom_site_fract_y
_atom_site_fract_z
Au1 0.750 0.875 0.625
Au2 0.875 0.125 0.250
Au3 0.750 0.375 0.125
Au4 0.625 0.375 0.750
Au5 0.125 0.875 0.750
Au6 0.375 0.625 0.250
Au7 0.250 0.125 0.375
Au8 0.250 0.625 0.875
Au9 0.625 0.250 0.375
Au10 0.375 0.750 0.625
Au11 0.125 0.250 0.875
Au12 0.875 0.750 0.125
Cs1 0.727 0.595 0.173
Cs2 0.773 0.446 0.369
Cs3 0.369 0.422 0.095
Cs4 0.131 0.727 0.554
Cs5 0.673 0.446 0.578
Cs6 0.946 0.369 0.273
Cs7 0.905 0.078 0.631
Cs8 0.227 0.554 0.631
Cs9 0.173 0.095 0.727
Cs10 0.054 0.422 0.827
Cs11 0.922 0.827 0.554
Cs12 0.273 0.405 0.827
Cs13 0.595 0.727 0.673
Cs14 0.922 0.095 0.869
Cs15 0.631 0.578 0.905
Cs16 0.078 0.905 0.131
Cs17 0.773 0.327 0.905
Cs18 0.631 0.054 0.227
Cs19 0.554 0.227 0.131
Cs20 0.869 0.273 0.446
Cs21 0.946 0.578 0.173
Cs22 0.827 0.922 0.054
Cs23 0.422 0.369 0.595
Cs24 0.405 0.273 0.327
Cs25 0.078 0.173 0.446
Cs26 0.727 0.131 0.054
Cs27 0.578 0.946 0.673
Cs28 0.446 0.673 0.078
Cs29 0.595 0.869 0.422
Cs30 0.554 0.327 0.922
Cs31 0.673 0.227 0.595
Cs32 0.273 0.869 0.946
Cs33 0.095 0.922 0.369
Cs34 0.054 0.631 0.727
Cs35 0.173 0.078 0.946
Cs36 0.327 0.773 0.405
Cs37 0.446 0.773 0.869
Cs38 0.405 0.131 0.578
Cs39 0.369 0.946 0.773
Cs40 0.131 0.405 0.078
Cs41 0.869 0.595 0.922
Cs42 0.578 0.631 0.405
Cs43 0.905 0.827 0.773
Cs44 0.422 0.054 0.327
Cs45 0.327 0.554 0.422
Cs46 0.095 0.173 0.227
Cs47 0.827 0.905 0.273
Cs48 0.227 0.673 0.095
Ag1 0.000 0.500 0.500
Ag2 0.000 0.000 0.500
Ag3 0.000 0.500 0.000
Ag4 0.000 0.000 0.000
Ag5 0.125 0.375 0.250
Ag6 0.500 0.000 0.000
Ag7 0.500 0.500 0.000
Ag8 0.250 0.875 0.125
Ag9 0.625 0.875 0.250
Ag10 0.375 0.250 0.125
Ag11 0.875 0.625 0.750
Ag12 0.500 0.500 0.500
Ag13 0.625 0.750 0.875
Ag14 0.750 0.125 0.875
Ag15 0.250 0.375 0.625
Ag16 0.125 0.750 0.375
Ag17 0.750 0.625 0.375
Ag18 0.875 0.250 0.625
Ag19 0.375 0.125 0.750
Ag20 0.500 0.000 0.500

---

Entry 8:
# Pr8TmTl2 | Alexandria via LeMat-Bulk | PBE | optimized geometry
# DFT formation energy	-0.39	eV per formula unit
# Fermi-level density of states	15.00	states/eV per cell
data_Pr8TmTl2
_chemical_formula_sum 'Pr8 Tm1 Tl2'
_space_group_name_H-M_alt 'P 1'
_space_group_IT_number 1
_space_group_name_Hall 'P 1'
_cell_length_a 5.879
_cell_length_b 9.077
_cell_length_c 9.077
_cell_angle_alpha 119.70
_cell_angle_beta 102.29
_cell_angle_gamma 102.29
loop_
_atom_site_label
_atom_site_fract_x
_atom_site_fract_y
_atom_site_fract_z
Pr1 0.888 0.907 0.684
Pr2 0.704 0.402 0.402
Pr3 0.500 0.219 0.781
Pr4 0.112 0.316 0.093
Pr5 0.888 0.684 0.907
Pr6 0.500 0.781 0.219
Pr7 0.112 0.093 0.316
Pr8 0.296 0.598 0.598
Tl1 0.000 0.695 0.305
Tl2 0.000 0.305 0.695
Tm1 0.500 0.000 0.000

---

Entry 9:
# Ca8Ag2Pd | Alexandria via LeMat-Bulk | PBE | optimized geometry
# DFT formation energy	-2.54	eV per formula unit
# Fermi-level density of states	7.39	states/eV per cell
# polymorph energy (0 for the lowest one)	11	meV per atom
data_Ca8Ag2Pd
_chemical_formula_sum 'Ca8 Ag2 Pd1'
_space_group_name_H-M_alt 'P 1'
_space_group_IT_number 1
_space_group_name_Hall 'P 1'
_cell_length_a 6.476
_cell_length_b 8.201
_cell_length_c 8.201
_cell_angle_alpha 114.26
_cell_angle_beta 102.16
_cell_angle_gamma 102.16
loop_
_atom_site_label
_atom_site_fract_x
_atom_site_fract_y
_atom_site_fract_z
Ca1 0.581 0.342 0.090
Ca2 0.356 0.660 0.917
Ca3 0.172 0.352 0.352
Ca4 0.356 0.917 0.660
Ca5 0.975 0.192 0.796
Ca6 0.802 0.654 0.654
Ca7 0.581 0.090 0.342
Ca8 0.975 0.796 0.192
Ag1 0.505 0.327 0.705
Ag2 0.505 0.705 0.327
Pd1 0.191 0.999 0.999

---

Entry 10:
# BaCaH2S | Alexandria via LeMat-Bulk | PBE | optimized geometry
# Fermi-level density of states	0.00	states/eV per cell
# polymorph energy (0 for the lowest one)	0	meV per atom
data_BaCaH2S
_chemical_formula_sum 'Ba2 Ca2 H4 S2'
_space_group_name_H-M_alt 'P 1'
_space_group_IT_number 1
_space_group_name_Hall 'P 1'
_cell_length_a 4.053
_cell_length_b 6.689
_cell_length_c 7.892
_cell_angle_alpha 90.00
_cell_angle_beta 90.00
_cell_angle_gamma 107.64
loop_
_atom_site_label
_atom_site_fract_x
_atom_site_fract_y
_atom_site_fract_z
Ca1 0.000 0.000 0.000
Ca2 0.000 0.000 0.500
H1 0.172 0.345 0.940
H2 0.828 0.655 0.060
H3 0.172 0.345 0.560
H4 0.828 0.655 0.440
S1 0.460 0.920 0.750
S2 0.540 0.080 0.250
Ba1 0.738 0.476 0.750
Ba2 0.262 0.524 0.250

---

Which volume belongs to each record? In order, 94.0 419.6 274.6 62.1 98.8 155.5 5163.9 381.2 366.0 203.9 Å³ per cell.
Which uncorrected energy belongs to each record? In order, -2.97 -3.20 -4.09 -6.05 -4.81 -3.30 -1.69 -4.35 -2.68 -4.12 eV/atom.
Which size of the total moment belongs to each record? In order, 0.000 0.000 0.253 5.573 6.120 0.000 2.517 0.000 0.000 0.000 μB/cell.